No. 1
Rb2TaSiTc: relaxed, PBE.

The calculation puts the density at 3.911 Mg/m³. The calculation puts the raw formation energy at 1.732 eV/atom. As for the space-group type: P4/mmm, No. 123.

abc: 6.6670 4.5661 6.6670
angles: 90.00 90.00 90.00
Last column: nearest neighbours and their distance in Å.
Fractional positions:
Rb1 0.5000 0.0000 0.0000  2 Tc 3.33
Rb2 0.0000 0.0000 0.5000  2 Tc 3.33
Si1 0.5000 0.5000 0.5000  8 Rb 4.04
Ta1 0.0000 0.5000 0.0000  2 Tc 2.28
Tc1 0.0000 0.0000 0.0000  2 Ta 2.28

=====

No. 2
RbTaSi2Te8: relaxed, PBE.

The calculation puts the density at 5.621 Mg/m³. The calculation puts the raw formation energy at -0.140 eV/atom. As for the space-group type: R-3, No. 148.

abc: 7.0307 7.0307 10.1202
angles: 69.67 69.67 60.00
Last column: nearest neighbours and their distance in Å.
Fractional positions:
Si1 0.7488 0.7488 0.7535  4 Te 2.50-2.58
Si2 0.2512 0.2512 0.2465  4 Te 2.50-2.58
Ta1 0.0000 0.0000 0.0000  6 Te 2.77
Te1 0.6219 0.2936 0.1563  1 Si 2.58, 1 Ta 2.77
Te2 0.3781 0.7064 0.8437  1 Si 2.58, 1 Ta 2.77
Te3 0.1612 0.1612 0.5164  1 Si 2.50
Te4 0.0718 0.3781 0.8437  1 Si 2.58, 1 Ta 2.77
Te5 0.2936 0.9282 0.1563  1 Si 2.58, 1 Ta 2.77
Te6 0.9282 0.6219 0.1563  1 Si 2.58, 1 Ta 2.77
Te7 0.8388 0.8388 0.4836  1 Si 2.50
Te8 0.7064 0.0718 0.8437  1 Si 2.58, 1 Ta 2.77
Rb1 0.5000 0.5000 0.5000  12 Te 3.89-4.06

=====

No. 3
RbTaTiSi2: relaxed, PBE.

The calculation puts the density at 5.116 Mg/m³. The calculation puts the raw formation energy at 0.883 eV/atom. As for the space-group type: P4/mmm, No. 123.

abc: 4.9946 4.8199 4.9946
angles: 90.00 90.00 90.00
Last column: nearest neighbours and their distance in Å.
Fractional positions:
Si1 0.5000 0.0000 0.0000  2 Ti 2.50
Si2 0.0000 0.0000 0.5000  2 Ti 2.50
Ta1 0.0000 0.5000 0.0000  2 Ti 2.41
Rb1 0.5000 0.5000 0.5000  8 Si 3.47, 4 Ta 3.53
Ti1 0.0000 0.0000 0.0000  2 Ta 2.41, 4 Si 2.50

=====

No. 4
RbTaVSi2: relaxed, PBE.

The calculation puts the density at 5.398 Mg/m³. The calculation puts the raw formation energy at 2.794 eV/atom. As for the space-group type: P4/mmm, No. 123.

abc: 5.0065 4.5841 5.0065
angles: 90.00 90.00 90.00
Last column: nearest neighbours and their distance in Å.
Fractional positions:
Si1 0.5000 0.0000 0.0000  2 Rb 2.50
Si2 0.0000 0.0000 0.5000  2 Rb 2.50
Rb1 0.0000 0.0000 0.0000  2 V 2.29, 4 Si 2.50
Ta1 0.5000 0.5000 0.5000  8 Si 3.39, 4 V 3.54
V1 0.0000 0.5000 0.0000  2 Rb 2.29

=====

No. 5
RbTaSi2W: relaxed, PBE.

The calculation puts the density at 7.629 Mg/m³. The calculation puts the raw formation energy at 3.474 eV/atom. As for the space-group type: P4/mmm, No. 123.

abc: 4.7484 4.8888 4.7484
angles: 90.00 90.00 90.00
Last column: nearest neighbours and their distance in Å.
Fractional positions:
Rb1 0.0000 0.0000 0.0000  4 Si 2.37, 2 Ta 2.44
W1 0.5000 0.5000 0.5000  4 Ta 3.36, 8 Si 3.41
Ta1 0.0000 0.5000 0.0000  2 Rb 2.44
Si1 0.5000 0.0000 0.0000  2 Rb 2.37
Si2 0.0000 0.0000 0.5000  2 Rb 2.37

=====

No. 6
RbTbSiTe4: relaxed, PBE.

The calculation puts the density at 4.983 Mg/m³. The calculation puts the raw formation energy at -0.809 eV/atom. As for the space-group type: P2_1/m, No. 11.

abc: 7.1792 7.6049 10.0910
angles: 90.00 108.72 90.00
Last column: nearest neighbours and their distance in Å.
Fractional positions:
Te1 0.4142 0.7500 0.1683  1 Si 2.50
Te2 0.0196 0.5078 0.7067  1 Si 2.54
Te3 0.5858 0.2500 0.8317  1 Si 2.50
Te4 0.9804 0.0078 0.2933  1 Si 2.54
Te5 0.5644 0.2500 0.4174  1 Si 2.51
Te6 0.9804 0.4922 0.2933  1 Si 2.54
Te7 0.0196 0.9922 0.7067  1 Si 2.54
Te8 0.4356 0.7500 0.5826  1 Si 2.51
Tb1 0.2304 0.2500 0.5514  6 Te 3.11-3.22
Tb2 0.7696 0.7500 0.4486  6 Te 3.11-3.22
Rb1 0.7666 0.7500 0.9448  8 Te 3.66-4.06
Rb2 0.2334 0.2500 0.0552  8 Te 3.66-4.06
Si1 0.7834 0.2500 0.6673  4 Te 2.50-2.54
Si2 0.2166 0.7500 0.3327  4 Te 2.50-2.54

=====

No. 7
Rb2Si2Tc: relaxed, PBE.

The calculation puts the density at 3.475 Mg/m³. Its offset from the most stable computed form is 2.158 eV/f.u. The calculation puts the raw formation energy at 1.549 eV/atom. As for the space-group type: P4/mbm, No. 127.

abc: 10.3230 10.3230 2.9161
angles: 90.00 90.00 90.00
Last column: nearest neighbours and their distance in Å.
Fractional positions:
Si1 0.8253 0.3253 0.5000  2 Si 2.92
Si2 0.6747 0.8253 0.5000  2 Si 2.92
Si3 0.3253 0.1747 0.5000  2 Si 2.92
Si4 0.1747 0.6747 0.5000  2 Si 2.92
Rb1 0.8759 0.6241 0.0000  2 Rb 2.92
Rb2 0.6241 0.1241 0.0000  2 Rb 2.92
Rb3 0.1241 0.3759 0.0000  2 Rb 2.92
Rb4 0.3759 0.8759 0.0000  2 Rb 2.92
Tc1 0.5000 0.5000 0.0000  2 Tc 2.92
Tc2 0.0000 0.0000 0.0000  2 Tc 2.92

=====

No. 8
Rb2Si2Tc: relaxed, PBE.

The calculation puts the density at 3.956 Mg/m³. Its offset from the most stable computed form is 0.000 eV/f.u. The calculation puts the raw formation energy at 1.117 eV/atom. As for the space-group type: I4/mmm, No. 139.

abc: 3.3640 3.3640 12.2904
angles: 82.13 82.13 90.00
Last column: nearest neighbours and their distance in Å.
Fractional positions:
Tc1 0.0000 0.0000 0.0000  4 Tc 3.36, 8 Rb 3.62
Rb1 0.6132 0.6132 0.7737  4 Rb 3.36, 4 Tc 3.62, 4 Si 3.70
Rb2 0.3868 0.3868 0.2263  4 Rb 3.36, 4 Tc 3.62, 4 Si 3.70
Si1 0.2500 0.7500 0.5000  4 Si 2.38
Si2 0.7500 0.2500 0.5000  4 Si 2.38

=====

no.,calculated total energy (eV/atom)
1,-4.18
2,-4.21
3,-5.43
4,-3.76
5,-3.85
6,-4.18
7,-3.08
8,-3.51